[1]
AcPr2Ge: optimized geometry, PBE.

Summary:
Its magnetization is 0.000 μB/cell. The excess energy over the best structure of this formula in the dataset is 0.357 eV/atom. Its formation energy is -0.053 eV/atom. As for the symmetry: No. 225.

a b c (Å): 5.5827 5.5827 5.5827
angles (deg): 60.00 60.00 60.00
Fractional positions:
Ac (0.0000, 0.0000, 0.0000)
Pr (0.2500, 0.2500, 0.2500)
Pr (0.7500, 0.7500, 0.7500)
Ge (0.5000, 0.5000, 0.5000)

***

[2]
AcPr3Ge4: optimized geometry, PBE.

Summary:
Its magnetization is 0.000 μB/cell. Its formation energy is -0.592 eV/atom. As for the symmetry: No. 71.

a b c (Å): 9.2449 9.2449 9.2449
angles (deg): 154.03 137.03 50.90
Fractional positions:
Ac (0.0000, 0.0000, 0.0000)
Pr (0.1956, 0.6956, 0.5000)
Pr (0.5000, 0.5000, 0.0000)
Pr (0.8044, 0.3044, 0.5000)
Ge (0.1827, 0.8657, 0.3171)
Ge (0.4514, 0.1343, 0.3171)
Ge (0.5486, 0.8657, 0.6829)
Ge (0.8173, 0.1343, 0.6829)

***

[3]
AcPr2Ge: optimized geometry, PBE.

Summary:
Its magnetization is 0.000 μB/cell. The excess energy over the best structure of this formula in the dataset is 0.103 eV/atom. Its formation energy is -0.306 eV/atom. As for the symmetry: No. 123.

a b c (Å): 4.0031 4.0031 7.9155
angles (deg): 90.00 90.00 90.00
Fractional positions:
Ac (0.0000, 0.0000, 0.0000)
Pr (0.5000, 0.5000, 0.3088)
Pr (0.5000, 0.5000, 0.6912)
Ge (0.0000, 0.0000, 0.5000)

***

[4]
AcPr2Ge: optimized geometry, PBE.

Summary:
Its magnetization is 0.000 μB/cell. The excess energy over the best structure of this formula in the dataset is 0.000 eV/atom. Its formation energy is -0.410 eV/atom. As for the symmetry: No. 11.

a b c (Å): 4.3222 9.6482 6.7199
angles (deg): 90.00 108.71 90.00
Fractional positions:
Ac (0.0666, 0.2500, 0.1341)
Ac (0.9334, 0.7500, 0.8659)
Pr (0.3529, 0.0528, 0.7070)
Pr (0.3529, 0.4472, 0.7070)
Pr (0.6471, 0.5528, 0.2930)
Pr (0.6471, 0.9472, 0.2930)
Ge (0.2399, 0.7500, 0.4788)
Ge (0.7601, 0.2500, 0.5212)

***

[5]
AcPr2Ge2: optimized geometry, PBE.

Summary:
Its magnetization is 0.000 μB/cell. The excess energy over the best structure of this formula in the dataset is 0.000 eV/atom. Its formation energy is -0.659 eV/atom. As for the symmetry: No. 127.

a b c (Å): 8.1542 8.1542 4.3616
angles (deg): 90.00 90.00 90.00
Fractional positions:
Ac (0.0000, 0.0000, 0.0000)
Ac (0.5000, 0.5000, 0.0000)
Pr (0.1717, 0.3283, 0.5000)
Pr (0.3283, 0.8283, 0.5000)
Pr (0.6717, 0.1717, 0.5000)
Pr (0.8283, 0.6717, 0.5000)
Ge (0.1153, 0.6153, 0.0000)
Ge (0.3847, 0.1153, 0.0000)
Ge (0.6153, 0.8847, 0.0000)
Ge (0.8847, 0.3847, 0.0000)

***

[6]
Ac2PrGe: optimized geometry, PBE.

Summary:
Its magnetization is 0.001 μB/cell. The excess energy over the best structure of this formula in the dataset is 0.073 eV/atom. Its formation energy is -0.161 eV/atom. As for the symmetry: No. 160.

a b c (Å): 10.2476 10.2476 10.2476
angles (deg): 24.11 24.11 24.11
Fractional positions:
Ac (0.0000, 0.0000, 0.0000)
Ac (0.2063, 0.2063, 0.2063)
Pr (0.4368, 0.4368, 0.4368)
Ge (0.6026, 0.6026, 0.6026)

***

[7]
Ac2PrGe: optimized geometry, PBE.

Summary:
Its magnetization is 0.000 μB/cell. The excess energy over the best structure of this formula in the dataset is 0.000 eV/atom. Its formation energy is -0.234 eV/atom. As for the symmetry: No. 123.

a b c (Å): 4.0546 4.0546 8.6179
angles (deg): 90.00 90.00 90.00
Fractional positions:
Ac (0.0000, 0.0000, 0.1965)
Ac (0.0000, 0.0000, 0.8035)
Pr (0.5000, 0.5000, 0.5000)
Ge (0.5000, 0.5000, 0.0000)

***

[8]
AcPr2Ge: optimized geometry, PBE.

Summary:
Its magnetization is 0.000 μB/cell. The excess energy over the best structure of this formula in the dataset is 0.136 eV/atom. Its formation energy is -0.273 eV/atom. As for the symmetry: No. 166.

a b c (Å): 10.0901 10.0901 10.0901
angles (deg): 23.93 23.93 23.93
Fractional positions:
Ac (0.0000, 0.0000, 0.0000)
Pr (0.2248, 0.2248, 0.2248)
Pr (0.7752, 0.7752, 0.7752)
Ge (0.5000, 0.5000, 0.5000)